[1]
HfHRh3: relaxed, GGA-PBE.

## Properties
E: -7.60 eV/atom
Volume: 12.95 A^3/atom

a b c (Å): 18.3448 8.7090 8.7090
angles (deg): 154.07 162.21 17.79
With the nearest neighbours (Å) after each atom.
Fractional positions:
Rh 0.4338 0.3817 0.6183  2 H 2.01
H 0.9342 0.8799 0.1201  6 Rh 1.95-2.05
Hf 0.3242 0.1014 0.8986  8 Rh 2.67-2.81
H 0.0658 0.1201 0.8799  6 Rh 1.95-2.05
Rh 0.5662 0.6183 0.3817  2 H 2.01
Rh 0.1878 0.8750 0.1250  1 H 2.03
Rh 0.9395 0.3709 0.6291  3 H 1.95-2.05
Rh 0.8122 0.1250 0.8750  1 H 2.03
Rh 0.0605 0.6291 0.3709  3 H 1.95-2.05
Hf 0.6758 0.8986 0.1014  8 Rh 2.67-2.81

[2]
Ca5Mg2TlZn2: relaxed, GGA-PBE.

## Properties
E: -1.94 eV/atom
Formation energy from the elements: -0.132 eV per atom
Volume: 30.08 A^3/atom

a b c (Å): 3.8307 12.5321 12.5321
angles (deg): 90.00 90.00 90.00
With the nearest neighbours (Å) after each atom.
Fractional positions:
Zn 0.0000 0.3615 0.1385  1 Mg 2.99, 6 Ca 2.99-3.11
Zn 0.0000 0.6385 0.8615  1 Mg 2.99, 6 Ca 2.99-3.11
Ca 0.5000 0.2946 0.5419  2 Zn 2.99, 2 Tl 3.25
Ca 0.5000 0.9581 0.2054  2 Zn 2.99, 2 Tl 3.25
Ca 0.5000 0.5419 0.7054  2 Zn 2.99, 2 Tl 3.25
Mg 0.0000 0.1927 0.3073  1 Zn 2.99
Tl 0.0000 0.5000 0.5000  8 Ca 3.25
Ca 0.5000 0.2054 0.0419  2 Zn 2.99, 2 Tl 3.25
Zn 0.0000 0.1385 0.6385  1 Mg 2.99, 6 Ca 2.99-3.11
Ca 0.5000 0.7054 0.4581  2 Zn 2.99, 2 Tl 3.25
Mg 0.0000 0.8073 0.6927  1 Zn 2.99
Ca 0.5000 0.0000 0.5000  4 Zn 3.11
Ca 0.5000 0.4581 0.2946  2 Zn 2.99, 2 Tl 3.25
Ca 0.5000 0.5000 0.0000  4 Zn 3.11
Tl 0.0000 0.0000 0.0000  8 Ca 3.25
Ca 0.5000 0.0419 0.7946  2 Zn 2.99, 2 Tl 3.25
Zn 0.0000 0.8615 0.3615  1 Mg 2.99, 6 Ca 2.99-3.11
Mg 0.0000 0.3073 0.8073  1 Zn 2.99
Mg 0.0000 0.6927 0.1927  1 Zn 2.99
Ca 0.5000 0.7946 0.9581  2 Zn 2.99, 2 Tl 3.25

Q: volume of number 2 (Ca5Mg2TlZn2)?
A: 30.08 A^3/atom

Q: volume of number 1 (HfHRh3)?
A: 12.95 A^3/atom

Q: E of number 2 (Ca5Mg2TlZn2)?
A: -1.94 eV/atom

Q: Which of these has the highest E?
A: Ca5Mg2TlZn2